# 1
The following is a DFT calculation (PBE) of YHoZnHg after structural relaxation.

Relative energy among the computed polymorphs ... 0.0000 eV/atom
Total DFT energy (no corrections) ... -3.58 eV per atom
Energy of formation from the pure elements ... -0.43 eV per atom
V ... 96 Å³/cell
DOS(E_F) ... 3.63 states/eV/f.u.

a = 3.6114 Å, b = 3.6114 Å, c = 7.3933 Å
α = 90.00°, β = 90.00°, γ = 90.00°
Space group P4mm (No. 99)
One atom of each set of equivalent atoms:
Y 0.0000 0.0000 0.0000 (multiplicity 1)
Ho 0.0000 0.0000 0.4686 (multiplicity 1)
Zn 0.5000 0.5000 0.2377 (multiplicity 1)
Hg 0.5000 0.5000 0.7300 (multiplicity 1)

---

# 2
The following is a DFT calculation (PBE) of HfPa2Ni after structural relaxation.

Total DFT energy (no corrections) ... -8.38 eV per atom
Energy of formation from the pure elements ... 0.30 eV per atom
V ... 260 Å³/cell
DOS(E_F) ... 5.69 states/eV/f.u.

a = 3.0734 Å, b = 3.0734 Å, c = 31.7494 Å
α = 90.00°, β = 90.00°, γ = 120.00°
Space group R-3m (No. 166, hexagonal axes)
One atom of each set of equivalent atoms:
Hf 0.0000 0.0000 0.0000 (multiplicity 3)
Pa 0.0000 0.0000 0.4207 (multiplicity 6)
Ni 0.0000 0.0000 0.5000 (multiplicity 3)

---

# 3
The following is a DFT calculation (PBE) of CsLiTeO4 after structural relaxation.

Total DFT energy (no corrections) ... -5.13 eV per atom
V ... 299 Å³/cell
DOS(E_F) ... 0.00 states/eV/f.u.

a = 6.0356 Å, b = 6.0356 Å, c = 8.2122 Å
α = 90.00°, β = 90.00°, γ = 90.00°
Space group I-4 (No. 82)
One atom of each set of equivalent atoms:
Cs 0.0000 0.0000 0.0000 (multiplicity 2)
Li 0.0000 0.5000 0.2500 (multiplicity 2)
Te 0.0000 0.0000 0.5000 (multiplicity 2)
O 0.0934 0.7687 0.3703 (multiplicity 8)